(1)
## Au (SCAN)

Data for a crystal of Au relaxed with PBEsol.

abc: 2.806 2.806 2.806
angles: 109.47 109.47 109.47
Fractional positions:
Au  0.000  0.000  0.000

Values from the calculation:
DFT formation energy: 0.0108 eV per atom
distance to the lowest polymorph of the same formula: 10.8 meV per atom
calculated volume: 17.01 Å³/atom
symmetry: Im-3m, No. 229

(2)
## BaTl3In (SCAN)

Data for a crystal of BaTl3In relaxed with PBEsol.

abc: 6.238 6.238 6.238
angles: 90.00 90.00 90.00
Fractional positions:
In  0.500  0.500  0.500
Ba  0.000  0.000  0.000
Tl  0.500  0.000  0.000
Tl  0.000  0.500  0.000
Tl  0.000  0.000  0.500

Values from the calculation:
DFT formation energy: 0.6739 eV per atom
distance to the lowest polymorph of the same formula: 739.6 meV per atom
calculated volume: 48.55 Å³/atom
symmetry: Pm-3m, No. 221

Question: The highest calculated volume belongs to which entry?
Answer: BaTl3In

Question: Among the records above, which one has the lowest DFT formation energy?
Answer: Au